[1]
A plane-wave DFT calculation with PBE-GGA was carried out for an optimized crystal structure of Pr3GeAs2Pd9.

Properties
Its formation energy from the elements is -583 meV/atom.

The structure in CIF format:
```
data_Pr3GeAs2Pd9
_cell_length_a 6.6075
_cell_length_b 6.6075
_cell_length_c 8.4920
_cell_angle_alpha 90.00
_cell_angle_beta 90.00
_cell_angle_gamma 120.00
_symmetry_space_group_name_H-M 'P -3 m 1'
_symmetry_Int_Tables_number 164
_symmetry_space_group_name_Hall '-P 3 2"'
loop_
_atom_site_label
_atom_site_type_symbol
_atom_site_fract_x
_atom_site_fract_y
_atom_site_fract_z
Pr1 Pr 0.0000 0.0000 0.0000
Pr2 Pr 0.3333 0.6667 0.6691
Ge1 Ge 0.0000 0.0000 0.5000
As1 As 0.3333 0.6667 0.1832
Pd1 Pd 0.0000 0.5000 0.0000
Pd2 Pd 0.1439 0.2877 0.2903
```


[2]
A plane-wave DFT calculation with PBE-GGA was carried out for an optimized crystal structure of Al2Si2Rh.

Properties
As for the energy relative to the elements, uncorrected: -215 meV/atom.

The structure in CIF format:
```
data_Al2Si2Rh
_cell_length_a 6.169
_cell_length_b 6.169
_cell_length_c 4.016
_cell_angle_alpha 90.00
_cell_angle_beta 90.00
_cell_angle_gamma 90.00
_symmetry_space_group_name_H-M 'P 4/m b m'
_symmetry_Int_Tables_number 127
_symmetry_space_group_name_Hall '-P 4 2ab'
loop_
_atom_site_label
_atom_site_type_symbol
_atom_site_fract_x
_atom_site_fract_y
_atom_site_fract_z
Al1 Al 0.174 0.326 0.000
Si1 Si 0.136 0.636 0.500
Rh1 Rh 0.000 0.000 0.500
```


[3]
A plane-wave DFT calculation with PBE-GGA was carried out for an optimized crystal structure of Al2HCl.

Properties
The value obtained for the energy relative to the lowest polymorph listed for this composition is 0.2582 eV/atom.

The structure in CIF format:
```
data_Al2HCl
_cell_length_a 6.692
_cell_length_b 6.692
_cell_length_c 6.692
_cell_angle_alpha 90.00
_cell_angle_beta 90.00
_cell_angle_gamma 90.00
_symmetry_space_group_name_H-M 'F m -3 m'
_symmetry_Int_Tables_number 225
_symmetry_space_group_name_Hall '-F 4 2 3'
loop_
_atom_site_label
_atom_site_type_symbol
_atom_site_fract_x
_atom_site_fract_y
_atom_site_fract_z
Al1 Al 0.250 0.250 0.250
H1 H 0.000 0.000 0.000
Cl1 Cl 0.000 0.000 0.500
```


[4]
A plane-wave DFT calculation with PBE-GGA was carried out for an optimized crystal structure of HfRhN3.

Properties
As for the energy relative to the elements, uncorrected: 739 meV/atom.

The structure in CIF format:
```
data_HfRhN3
_cell_length_a 3.829
_cell_length_b 3.829
_cell_length_c 3.829
_cell_angle_alpha 90.00
_cell_angle_beta 90.00
_cell_angle_gamma 90.00
_symmetry_space_group_name_H-M 'P m -3 m'
_symmetry_Int_Tables_number 221
_symmetry_space_group_name_Hall '-P 4 2 3'
loop_
_atom_site_label
_atom_site_type_symbol
_atom_site_fract_x
_atom_site_fract_y
_atom_site_fract_z
Hf1 Hf 0.000 0.000 0.000
Rh1 Rh 0.500 0.500 0.500
N1 N 0.000 0.500 0.500
```


[5]
A plane-wave DFT calculation with PBE-GGA was carried out for an optimized crystal structure of HgHI4.

Properties
For the total energy, the calculation gives -1.677 eV/atom.

The structure in CIF format:
```
data_HgHI4
_cell_length_a 24.082
_cell_length_b 4.496
_cell_length_c 10.991
_cell_angle_alpha 90.00
_cell_angle_beta 110.15
_cell_angle_gamma 90.00
_symmetry_space_group_name_H-M 'C 1 2/m 1'
_symmetry_Int_Tables_number 12
loop_
_symmetry_equiv_pos_as_xyz
'x,y,z'
'-x,-y,-z'
'-x,y,-z'
'x,-y,z'
'x+1/2,y+1/2,z'
'-x+1/2,-y+1/2,-z'
'-x+1/2,y+1/2,-z'
'x+1/2,-y+1/2,z'
loop_
_atom_site_label
_atom_site_type_symbol
_atom_site_fract_x
_atom_site_fract_y
_atom_site_fract_z
Hg1 Hg 0.082 0.000 0.020
H1 H 0.150 0.000 0.546
I1 I 0.020 0.000 0.207
I2 I 0.102 0.000 0.623
I3 I 0.161 0.500 0.061
I4 I 0.221 0.000 0.389
```


[6]
A plane-wave DFT calculation with PBE-GGA was carried out for an optimized crystal structure of Ca2CdPt.

Properties
Its formation energy from the elements is -377 meV/atom.

The structure in CIF format:
```
data_Ca2CdPt
_cell_length_a 4.039
_cell_length_b 4.039
_cell_length_c 6.365
_cell_angle_alpha 90.00
_cell_angle_beta 90.00
_cell_angle_gamma 90.00
_symmetry_space_group_name_H-M 'P 4 m m'
_symmetry_Int_Tables_number 99
loop_
_symmetry_equiv_pos_as_xyz
'x,y,z'
'-y,x,z'
'-x,-y,z'
'y,-x,z'
'-x,y,z'
'y,x,z'
'x,-y,z'
'-y,-x,z'
loop_
_atom_site_label
_atom_site_type_symbol
_atom_site_fract_x
_atom_site_fract_y
_atom_site_fract_z
Ca1 Ca 0.000 0.000 0.000
Ca2 Ca 0.500 0.500 0.346
Cd1 Cd 0.000 0.000 0.548
Pt1 Pt 0.500 0.500 0.853
```


[7]
A plane-wave DFT calculation with PBE-GGA was carried out for an optimized crystal structure of Mg2CdTe.

Properties
The value obtained for the energy relative to the lowest polymorph listed for this composition is 0.0930 eV/atom. As for the energy relative to the elements, uncorrected: -185 meV/atom.

The structure in CIF format:
```
data_Mg2CdTe
_cell_length_a 6.565
_cell_length_b 7.578
_cell_length_c 3.918
_cell_angle_alpha 90.00
_cell_angle_beta 90.00
_cell_angle_gamma 90.00
_symmetry_space_group_name_H-M 'C m m m'
_symmetry_Int_Tables_number 65
_symmetry_space_group_name_Hall '-C 2 2'
loop_
_atom_site_label
_atom_site_type_symbol
_atom_site_fract_x
_atom_site_fract_y
_atom_site_fract_z
Mg1 Mg 0.250 0.250 0.000
Cd1 Cd 0.000 0.000 0.500
Te1 Te 0.000 0.500 0.500
```


[8]
A plane-wave DFT calculation with PBE-GGA was carried out for an optimized crystal structure of Mg2H5Ir3.

Properties
The value obtained for the energy relative to the lowest polymorph listed for this composition is 0.0272 eV/atom.

The structure in CIF format:
```
data_Mg2H5Ir3
_cell_length_a 2.930
_cell_length_b 4.832
_cell_length_c 7.180
_cell_angle_alpha 82.24
_cell_angle_beta 78.23
_cell_angle_gamma 90.00
_symmetry_space_group_name_H-M 'P 1'
_symmetry_Int_Tables_number 1
loop_
_symmetry_equiv_pos_as_xyz
'x,y,z'
loop_
_atom_site_label
_atom_site_type_symbol
_atom_site_fract_x
_atom_site_fract_y
_atom_site_fract_z
Mg1 Mg 0.000 0.000 0.000
Mg2 Mg 0.181 0.614 0.637
H1 H 0.208 0.039 0.581
H2 H 0.584 0.801 0.829
H3 H 0.602 0.300 0.794
H4 H 0.777 0.286 0.443
H5 H 0.937 0.409 0.125
Ir1 Ir 0.327 0.110 0.344
Ir2 Ir 0.512 0.483 0.973
Ir3 Ir 0.840 0.637 0.318
```


Total magnetic moment: 0.0 0.0 0.0 0.0 1.0 0.0 0.0 0.0 (μB/f.u.)
DOS at the Fermi energy: 0.411 0.309 0.062 0.877 0.082 0.713 0.365 0.130 (states/eV per atom)